[1]
{
  "formula": "CsMgW3",
  "functional": "GGA-PBE",
  "state": "optimized geometry",
  "lattice_angstrom": [[4.9608, 0.0000, 0.0000], [0.0000, 4.9608, 0.0000], [0.0000, 0.0000, 4.9608]],
  "species": ["Cs", "Mg", "W", "W", "W"],
  "fractional_positions": [[0.0000, 0.0000, 0.0000], [0.5000, 0.5000, 0.5000], [0.0000, 0.5000, 0.5000], [0.5000, 0.0000, 0.5000], [0.5000, 0.5000, 0.0000]],
  "formation_energy_ev_per_atom": 3.165,
  "total_energy_ev_per_atom": -5.0968,
  "e_above_lowest_polymorph_mev_per_atom": 0
}


[2]
{
  "formula": "CsMgW2",
  "functional": "GGA-PBE",
  "state": "optimized geometry",
  "lattice_angstrom": [[-2.1273, 2.1273, 10.6502], [2.1273, -2.1273, 10.6502], [2.1273, 2.1273, -10.6502]],
  "species": ["Cs", "Cs", "Mg", "Mg", "W", "W", "W", "W"],
  "fractional_positions": [[0.0000, 0.0000, 0.0000], [0.7500, 0.2500, 0.5000], [0.2500, 0.7500, 0.5000], [0.5000, 0.5000, 0.0000], [0.2043, 0.6250, 0.0793], [0.3750, 0.4543, 0.5793], [0.5457, 0.1250, 0.9207], [0.8750, 0.7957, 0.4207]],
  "formation_energy_ev_per_atom": 1.916,
  "total_energy_ev_per_atom": -5.1729
}


[3]
{
  "formula": "CsMgW3",
  "functional": "GGA-PBE",
  "state": "optimized geometry",
  "lattice_angstrom": [[4.9550, 0.0000, 0.0000], [0.0000, 4.9550, 0.0000], [0.0000, 0.0000, 4.9550]],
  "species": ["Cs", "Mg", "W", "W", "W"],
  "fractional_positions": [[0.0000, 0.0000, 0.0000], [0.5000, 0.5000, 0.5000], [0.0000, 0.0000, 0.5000], [0.0000, 0.5000, 0.0000], [0.5000, 0.0000, 0.0000]],
  "formation_energy_ev_per_atom": 3.711,
  "total_energy_ev_per_atom": -4.5506,
  "e_above_lowest_polymorph_mev_per_atom": 546
}


[4]
{
  "formula": "CsMg3W",
  "functional": "GGA-PBE",
  "state": "optimized geometry",
  "lattice_angstrom": [[5.6240, 0.0000, 0.0000], [0.0000, 5.6240, 0.0000], [0.0000, 0.0000, 5.6240]],
  "species": ["Cs", "Mg", "Mg", "Mg", "W"],
  "fractional_positions": [[0.0000, 0.0000, 0.0000], [0.0000, 0.5000, 0.5000], [0.5000, 0.0000, 0.5000], [0.5000, 0.5000, 0.0000], [0.5000, 0.5000, 0.5000]],
  "formation_energy_ev_per_atom": 1.040,
  "total_energy_ev_per_atom": -2.6781,
  "e_above_lowest_polymorph_mev_per_atom": 0
}


[5]
{
  "formula": "CsMg3W",
  "functional": "GGA-PBE",
  "state": "optimized geometry",
  "lattice_angstrom": [[5.4336, 0.0000, 0.0000], [0.0000, 5.4336, 0.0000], [0.0000, 0.0000, 5.4336]],
  "species": ["Cs", "Mg", "Mg", "Mg", "W"],
  "fractional_positions": [[0.0000, 0.0000, 0.0000], [0.0000, 0.0000, 0.5000], [0.0000, 0.5000, 0.0000], [0.5000, 0.0000, 0.0000], [0.5000, 0.5000, 0.5000]],
  "formation_energy_ev_per_atom": 2.692,
  "total_energy_ev_per_atom": -1.0257,
  "e_above_lowest_polymorph_mev_per_atom": 1652
}


[6]
{
  "formula": "CsMg6W",
  "functional": "GGA-PBE",
  "state": "optimized geometry",
  "lattice_angstrom": [[5.1724, 0.0000, 0.0000], [0.0000, 3.2442, 5.6272], [0.0000, -3.2442, 5.6272]],
  "species": ["Cs", "Mg", "Mg", "Mg", "Mg", "Mg", "Mg", "W"],
  "fractional_positions": [[0.0000, 0.0000, 0.0000], [0.0000, 0.5194, 0.5194], [0.0000, 0.5185, 0.9634], [0.0000, 0.9634, 0.5185], [0.5000, 0.1770, 0.1770], [0.5000, 0.1770, 0.6461], [0.5000, 0.6461, 0.1770], [0.5000, 0.6670, 0.6670]],
  "formation_energy_ev_per_atom": 0.597,
  "total_energy_ev_per_atom": -2.3246,
  "e_above_lowest_polymorph_mev_per_atom": 134
}


[7]
{
  "formula": "CsMg6W",
  "functional": "GGA-PBE",
  "state": "optimized geometry",
  "lattice_angstrom": [[3.1929, 0.0000, 0.0000], [0.0000, 5.6754, 5.7440], [0.0000, -5.6754, 5.7440]],
  "species": ["Cs", "Mg", "Mg", "Mg", "Mg", "Mg", "Mg", "W"],
  "fractional_positions": [[0.0000, 0.0000, 0.0000], [0.0000, 0.4694, 0.9304], [0.0000, 0.9304, 0.4694], [0.5000, 0.2536, 0.6551], [0.5000, 0.3005, 0.3005], [0.5000, 0.6551, 0.2536], [0.5000, 0.7148, 0.7148], [0.0000, 0.5172, 0.5172]],
  "formation_energy_ev_per_atom": 0.463,
  "total_energy_ev_per_atom": -2.4585,
  "e_above_lowest_polymorph_mev_per_atom": 0
}


[8]
{
  "formula": "CsYMg3",
  "functional": "GGA-PBE",
  "state": "optimized geometry",
  "lattice_angstrom": [[5.8583, 0.0000, 0.0000], [0.0000, 5.8583, 0.0000], [0.0000, 0.0000, 5.8583]],
  "species": ["Cs", "Y", "Mg", "Mg", "Mg"],
  "fractional_positions": [[0.0000, 0.0000, 0.0000], [0.5000, 0.5000, 0.5000], [0.0000, 0.0000, 0.5000], [0.0000, 0.5000, 0.0000], [0.5000, 0.0000, 0.0000]],
  "formation_energy_ev_per_atom": 1.237,
  "total_energy_ev_per_atom": -1.1829,
  "e_above_lowest_polymorph_mev_per_atom": 560
}


[9]
{
  "formula": "Cs3YMg",
  "functional": "GGA-PBE",
  "state": "optimized geometry",
  "lattice_angstrom": [[7.4564, 0.0000, 0.0000], [0.0000, 7.4564, 0.0000], [0.0000, 0.0000, 7.4564]],
  "species": ["Cs", "Cs", "Cs", "Y", "Mg"],
  "fractional_positions": [[0.0000, 0.0000, 0.5000], [0.0000, 0.5000, 0.0000], [0.5000, 0.0000, 0.0000], [0.5000, 0.5000, 0.5000], [0.0000, 0.0000, 0.0000]],
  "formation_energy_ev_per_atom": 0.806,
  "total_energy_ev_per_atom": -1.3174,
  "e_above_lowest_polymorph_mev_per_atom": 0
}


[10]
{
  "formula": "Cs2Y2Mg",
  "functional": "GGA-PBE",
  "state": "optimized geometry",
  "lattice_angstrom": [[-2.2860, 2.2860, 13.3500], [2.2860, -2.2860, 13.3500], [2.2860, 2.2860, -13.3500]],
  "species": ["Cs", "Cs", "Y", "Y", "Mg"],
  "fractional_positions": [[0.1050, 0.1050, 0.0000], [0.8950, 0.8950, 0.0000], [0.2500, 0.7500, 0.5000], [0.7500, 0.2500, 0.5000], [0.5000, 0.5000, 0.0000]],
  "formation_energy_ev_per_atom": 0.583,
  "total_energy_ev_per_atom": -2.6625,
  "e_above_lowest_polymorph_mev_per_atom": 0
}


[11]
{
  "formula": "Cs2Y2Mg",
  "functional": "GGA-PBE",
  "state": "optimized geometry",
  "lattice_angstrom": [[10.7185, 0.0000, 0.0000], [0.0000, 10.7185, 0.0000], [0.0000, 0.0000, 3.7981]],
  "species": ["Cs", "Cs", "Cs", "Cs", "Y", "Y", "Y", "Y", "Mg", "Mg"],
  "fractional_positions": [[0.1271, 0.3729, 0.0000], [0.3729, 0.8729, 0.0000], [0.6271, 0.1271, 0.0000], [0.8729, 0.6271, 0.0000], [0.1784, 0.6784, 0.5000], [0.3216, 0.1784, 0.5000], [0.6784, 0.8216, 0.5000], [0.8216, 0.3216, 0.5000], [0.0000, 0.0000, 0.0000], [0.5000, 0.5000, 0.0000]],
  "formation_energy_ev_per_atom": 1.038,
  "total_energy_ev_per_atom": -2.2082,
  "e_above_lowest_polymorph_mev_per_atom": 454
}


[12]
{
  "formula": "CsYMg3",
  "functional": "GGA-PBE",
  "state": "optimized geometry",
  "lattice_angstrom": [[6.2659, 0.0000, 0.0000], [0.0000, 6.2659, 0.0000], [0.0000, 0.0000, 6.2659]],
  "species": ["Cs", "Y", "Mg", "Mg", "Mg"],
  "fractional_positions": [[0.0000, 0.0000, 0.0000], [0.5000, 0.5000, 0.5000], [0.0000, 0.5000, 0.5000], [0.5000, 0.0000, 0.5000], [0.5000, 0.5000, 0.0000]],
  "formation_energy_ev_per_atom": 0.677,
  "total_energy_ev_per_atom": -1.7432,
  "e_above_lowest_polymorph_mev_per_atom": 0
}